[1]
First-principles (GGA-PBEsol) data for NdLu3 after structural relaxation, as listed in Alexandria.

Unit cell a=7.0060 b=7.0060 c=5.5052 alpha=90.00 beta=90.00 gamma=120.00
With the nearest neighbours (Å) after each atom.
Atoms (fractional coordinates):
Nd1 0.3333 0.6667 0.2500  12 Lu 3.43-3.50
Nd2 0.6667 0.3333 0.7500  12 Lu 3.43-3.50
Lu1 0.1648 0.3296 0.7500  8 Lu 3.40-3.54, 4 Nd 3.43-3.50
Lu2 0.1648 0.8352 0.7500  8 Lu 3.40-3.54, 4 Nd 3.43-3.50
Lu3 0.3296 0.1648 0.2500  8 Lu 3.40-3.54, 4 Nd 3.43-3.50
Lu4 0.6704 0.8352 0.7500  8 Lu 3.40-3.54, 4 Nd 3.43-3.50
Lu5 0.8352 0.1648 0.2500  8 Lu 3.40-3.54, 4 Nd 3.43-3.50
Lu6 0.8352 0.6704 0.2500  8 Lu 3.40-3.54, 4 Nd 3.43-3.50

Calculated values
Total moment ... 0.00 Bohr magnetons per cell
Crystal system ... hexagonal
Formation energy from the elements ... 0.01 eV per atom

[2]
First-principles (GGA-PBEsol) data for LaMnRu after structural relaxation, as listed in Alexandria.

Unit cell a=6.1700 b=6.1700 c=6.1700 alpha=151.65 beta=151.65 gamma=40.52
With the nearest neighbours (Å) after each atom.
Atoms (fractional coordinates):
La1 0.0000 0.0000 0.0000  4 La 3.02, 4 Mn 3.14, 4 Ru 3.19
Mn1 0.6989 0.6989 0.0000  4 Ru 2.41
Ru1 0.2960 0.2960 0.0000  4 Mn 2.41

Calculated values
Total moment ... 1.22 Bohr magnetons per cell
Crystal system ... tetragonal
Formation energy from the elements ... 0.30 eV per atom

[3]
First-principles (GGA-PBEsol) data for ZnBr after structural relaxation, as listed in Alexandria.

Unit cell a=3.7869 b=3.7869 c=3.8183 alpha=90.00 beta=90.00 gamma=119.28
With the nearest neighbours (Å) after each atom.
Atoms (fractional coordinates):
Zn1 0.0000 0.0000 0.0000  4 Br 2.70
Br1 0.5000 0.5000 0.5000  4 Zn 2.70

Calculated values
Total moment ... 0.00 Bohr magnetons per cell
E_form (uncorrected) ... -12 kJ/mol of formula units
Crystal system ... orthorhombic

[4]
First-principles (GGA-PBEsol) data for TaTc2P after structural relaxation, as listed in Alexandria.

Unit cell a=2.8594 b=4.2741 c=4.7421 alpha=90.00 beta=93.62 gamma=90.00
With the nearest neighbours (Å) after each atom.
Atoms (fractional coordinates):
Ta1 0.0000 0.0000 0.0000  4 Tc 2.66, 4 P 2.69-2.84, 2 Ta 2.86
Tc1 0.3313 0.5000 0.7434  2 P 2.49, 2 Tc 2.56, 2 Ta 2.66
Tc2 0.6687 0.5000 0.2566  2 P 2.49, 2 Tc 2.56, 2 Ta 2.66
P1 0.5000 0.0000 0.5000  4 Tc 2.49, 2 Ta 2.69

Calculated values
Total moment ... 0.00 Bohr magnetons per cell
Crystal system ... monoclinic
Formation energy from the elements ... -0.12 eV per atom